No. 1
VASP calculation (GGA-PBE) on a relaxed AlRePt2 crystal.

Cell lengths 6.283, 6.283, 6.283 Å; angles 90.00, 90.00, 90.00 degrees
Space group Fm-3m (No. 225)
Unique sites:
Al 0.000 0.000 0.000 x4
Re 0.000 0.000 0.500 x4
Pt 0.250 0.250 0.250 x8

- volume (A^3/atom) = 15.50

No. 2
VASP calculation (GGA-PBE) on a relaxed AlRePt3 crystal.

Cell lengths 4.517, 4.517, 4.517 Å; angles 90.00, 90.00, 90.00 degrees
Space group Pm-3m (No. 221)
Unique sites:
Al 0.000 0.000 0.000 x1
Re 0.500 0.500 0.500 x1
Pt 0.000 0.000 0.500 x3

- volume (A^3/atom) = 18.44

The records above give, respectively, size of the total moment values of 0.3278 0.7619 μB/atom.
The records above give, respectively, offset from the most stable computed form values of 0.374 0.000 eV per atom.
The records above give, respectively, calculated formation energy values of -0.0578 0.9667 eV/atom.